No. 1
# AlTeI2O PBE relaxed
# E_form (uncorrected) ... -13.99 kcal/mol of atoms
# Relative energy among the computed polymorphs ... 0 kJ/mol of formula units
# E_tot ... -3.5951 eV per atom
# Total moment ... 0.0 μB per formula unit
data_AlTeI2O
_symmetry_space_group_name_H-M 'P 4/m m m'
_symmetry_Int_Tables_number 123
_symmetry_space_group_name_Hall '-P 4 2'
_cell_length_a 5.940
_cell_length_b 5.940
_cell_length_c 3.499
_cell_angle_alpha 90.00
_cell_angle_beta 90.00
_cell_angle_gamma 90.00
loop_
_atom_site_label
_atom_site_type_symbol
_atom_site_fract_x
_atom_site_fract_y
_atom_site_fract_z
Al1 Al 0.000 0.000 0.000
Te1 Te 0.500 0.500 0.500
I1 I 0.000 0.500 0.000
O1 O 0.000 0.000 0.500


No. 2
# BeCu5Au8 PBE relaxed
# E_tot ... -3.5611 eV per atom
# E_form ... 0.04 eV/atom
# Total moment ... 0.0 μB per formula unit
data_BeCu5Au8
_symmetry_space_group_name_H-M 'I -4'
_symmetry_Int_Tables_number 82
_cell_length_a 7.526
_cell_length_b 7.526
_cell_length_c 7.886
_cell_angle_alpha 90.00
_cell_angle_beta 90.00
_cell_angle_gamma 90.00
loop_
_symmetry_equiv_pos_as_xyz
'x,y,z'
'y,-x,-z'
'-x,-y,z'
'-y,x,-z'
'x+1/2,y+1/2,z+1/2'
'y+1/2,-x+1/2,-z+1/2'
'-x+1/2,-y+1/2,z+1/2'
'-y+1/2,x+1/2,-z+1/2'
loop_
_atom_site_label
_atom_site_type_symbol
_atom_site_fract_x
_atom_site_fract_y
_atom_site_fract_z
Be1 Be 0.000 0.000 0.000
Cu1 Cu 0.000 0.500 0.750
Cu2 Cu 0.111 0.794 0.424
Au1 Au 0.071 0.675 0.086
Au2 Au 0.088 0.826 0.758